# 1
## CaAc4Pr3 (PBE)

Data for a relaxed CaAc4Pr3 crystal.

- Calculated density: 6.85 g/cm³
- Fermi-level density of states: 1.637 states/eV/atom
- E_tot: -3.99 eV/atom
- Energy of formation: 106.1 meV/atom
- Crystal system: monoclinic

Lattice parameters (Å, degrees): 17.118 6.339 6.525 90.00 110.27 90.00
Space group C2/m (No. 12)
Inequivalent atoms, fractional coordinates:
1 Ca 0.000 0.000 0.000 (multiplicity 2)
2 Ac 0.128 0.000 0.589 (multiplicity 4)
3 Ac 0.243 0.500 0.801 (multiplicity 4)
4 Pr 0.000 0.500 0.500 (multiplicity 2)
5 Pr 0.127 0.500 0.174 (multiplicity 4)

***

# 2
## Ca12Ac6Pr (PBE)

Data for a relaxed Ca12Ac6Pr crystal.

- Calculated density: 3.98 g/cm³
- Fermi-level density of states: 1.588 states/eV/atom
- E_tot: -2.70 eV/atom
- Energy of formation: 118.0 meV/atom
- Crystal system: trigonal

Lattice parameters (Å, degrees): 14.7344 14.7344 13.2221 90.00 90.00 120.00
Space group R-3m (No. 166, hexagonal axes)
Inequivalent atoms, fractional coordinates:
1 Ca 0.0000 0.2592 0.0000 (multiplicity 18)
2 Ca 0.0536 0.5268 0.1241 (multiplicity 18)
3 Ac 0.0861 0.1722 0.7616 (multiplicity 18)
4 Pr 0.0000 0.0000 0.0000 (multiplicity 3)

***

# 3
## Ca3Ac7Pr2 (PBE)

Data for a relaxed Ca3Ac7Pr2 crystal.

- Calculated density: 6.42 g/cm³
- Fermi-level density of states: 1.475 states/eV/atom
- E_tot: -3.60 eV/atom
- Energy of formation: 90.5 meV/atom
- Crystal system: monoclinic

Lattice parameters (Å, degrees): 7.084 3.828 19.103 90.00 96.14 90.00
Space group P2/m (No. 10)
Inequivalent atoms, fractional coordinates:
1 Ca 0.000 0.000 0.000 (multiplicity 1)
2 Ca 0.043 0.500 0.658 (multiplicity 2)
3 Ac 0.234 0.500 0.170 (multiplicity 2)
4 Ac 0.252 0.000 0.500 (multiplicity 2)
5 Ac 0.279 0.000 0.828 (multiplicity 2)
6 Ac 0.500 0.500 0.000 (multiplicity 1)
7 Pr 0.452 0.000 0.330 (multiplicity 2)